Entry from Alexandria via LeMat-Bulk: crystalline RbPa2Co2S6 at its relaxed geometry (PBE).

The crystal system is triclinic. The formation energy from raw total energies comes out at -1.10 eV per atom.

The structure belongs to space group P-1 (No. 2); the cell edges are 7.201, 7.298 and 7.345 Å and the angles 61.72°, 61.40° and 61.32°. The asymmetric unit holds Rb at (0.000, 0.000, 0.000), Pa at (0.332, 0.009, 0.331), Co at (0.348, 0.554, 0.640), S at (0.085, 0.748, 0.481), S at (0.321, 0.247, 0.919) and S at (0.473, 0.751, 0.680).

***

Entry from Alexandria via LeMat-Bulk: crystalline Rb4Pa3CoSe8 at its relaxed geometry (PBE).

The crystal system is monoclinic. The formation energy from raw total energies comes out at -1.12 eV per atom.

The structure belongs to space group C2/m (No. 12); the cell edges are 14.366, 8.286 and 9.416 Å and the angles 90.00°, 120.59° and 90.00°. The asymmetric unit holds Rb at (0.000, 0.000, 0.000), Rb at (0.000, 0.500, 0.000), Rb at (0.250, 0.250, 0.000), Pa at (0.000, 0.000, 0.500), Pa at (0.250, 0.250, 0.500), Co at (0.000, 0.500, 0.500), Se at (0.017, 0.258, 0.308), Se at (0.226, 0.500, 0.693) and Se at (0.234, 0.000, 0.704).

***

Entry from Alexandria via LeMat-Bulk: crystalline RbPaCoSe4 at its relaxed geometry (PBE).

The crystal system is monoclinic. The formation energy from raw total energies comes out at -0.99 eV per atom.

The structure belongs to space group P2_1/m (No. 11); the cell edges are 6.886, 6.009 and 9.597 Å and the angles 90.00°, 106.45° and 90.00°. The asymmetric unit holds Rb at (0.245, 0.250, 0.049), Pa at (0.265, 0.250, 0.550), Co at (0.250, 0.750, 0.345), Se at (0.013, 0.507, 0.697), Se at (0.428, 0.750, 0.591) and Se at (0.448, 0.750, 0.183).

***

Entry from Alexandria via LeMat-Bulk: crystalline RbPaCoSe3 at its relaxed geometry (PBE).

The crystal system is monoclinic. The formation energy from raw total energies comes out at -1.08 eV per atom.

The structure belongs to space group P2_1/m (No. 11); the cell edges are 9.573, 3.997 and 9.850 Å and the angles 90.00°, 113.94° and 90.00°. The asymmetric unit holds Rb at (0.215, 0.250, 0.245), Pa at (0.307, 0.750, 0.827), Co at (0.087, 0.250, 0.597), Se at (0.111, 0.250, 0.853), Se at (0.193, 0.750, 0.522) and Se at (0.465, 0.750, 0.151).

***

Entry from Alexandria via LeMat-Bulk: crystalline Rb3Pa3CoSe8 at its relaxed geometry (PBE).

The crystal system is monoclinic. The formation energy from raw total energies comes out at -1.14 eV per atom.

The structure belongs to space group C2/m (No. 12); the cell edges are 14.165, 8.188 and 9.514 Å and the angles 90.00°, 119.70° and 90.00°. The asymmetric unit holds Rb at (0.000, 0.000, 0.000), Rb at (0.250, 0.250, 0.000), Pa at (0.000, 0.500, 0.500), Pa at (0.250, 0.250, 0.500), Co at (0.000, 0.000, 0.500), Se at (0.019, 0.242, 0.314), Se at (0.223, 0.000, 0.686) and Se at (0.234, 0.500, 0.703).

***

Entry from Alexandria via LeMat-Bulk: crystalline Rb2Pa2CoSe6 at its relaxed geometry (PBE).

The crystal system is monoclinic. The formation energy from raw total energies comes out at -1.11 eV per atom.

The structure belongs to space group C2/m (No. 12); the cell edges are 6.977, 11.973 and 8.617 Å and the angles 90.00°, 105.58° and 90.00°. The asymmetric unit holds Rb at (0.000, 0.168, 0.000), Pa at (0.000, 0.334, 0.500), Co at (0.000, 0.000, 0.500), Se at (0.225, 0.161, 0.688) and Se at (0.245, 0.500, 0.688).

***

Entry from Alexandria via LeMat-Bulk: crystalline PaCoRe2 at its relaxed geometry (PBE).

The crystal system is tetragonal. Its energy above the most stable polymorph in this dataset is 0 meV per atom. For the formation energy from the elements, the calculation gives 0.12 eV per atom.

The structure belongs to space group P4/mmm (No. 123); the cell edges are 3.913, 3.913 and 4.310 Å and the angles 90.00°, 90.00° and 90.00°. The asymmetric unit holds Pa at (0.000, 0.000, 0.000), Co at (0.500, 0.500, 0.000) and Re at (0.000, 0.500, 0.500).

***

Entry from Alexandria via LeMat-Bulk: crystalline Pa6Co2Re at its relaxed geometry (PBE).

The crystal system is orthorhombic. For the formation energy from the elements, the calculation gives -0.08 eV per atom.

The structure belongs to space group Immm (No. 71); the cell edges are 7.836, 9.754 and 9.814 Å and the angles 90.00°, 90.00° and 90.00°. The asymmetric unit holds Pa at (0.000, 0.205, 0.238), Pa at (0.194, 0.303, 0.500), Pa at (0.230, 0.500, 0.183), Co at (0.000, 0.353, 0.000), Co at (0.000, 0.500, 0.362), Re at (0.000, 0.000, 0.000) and Re at (0.000, 0.000, 0.500).

***

Entry from Alexandria via LeMat-Bulk: crystalline PaCo4Re at its relaxed geometry (PBE).

The crystal system is cubic. For the formation energy from the elements, the calculation gives -0.01 eV per atom.

The structure belongs to space group F-43m (No. 216); the cell edges are 6.872, 6.872 and 6.872 Å and the angles 90.00°, 90.00° and 90.00°. The asymmetric unit holds Pa at (0.000, 0.000, 0.000), Co at (0.124, 0.124, 0.624) and Re at (0.250, 0.250, 0.250).

***

Entry from Alexandria via LeMat-Bulk: crystalline PaCoRe2 at its relaxed geometry (PBE).

The crystal system is trigonal. Its energy above the most stable polymorph in this dataset is 60 meV per atom. For the formation energy from the elements, the calculation gives 0.18 eV per atom.

The structure belongs to space group R-3m (No. 166, hexagonal axes); the cell edges are 4.4104, 4.4104 and 13.4953 Å and the angles 90.00°, 90.00° and 120.00°. The asymmetric unit holds Pa at (0.0000, 0.0000, 0.0000), Co at (0.0000, 0.0000, 0.5000) and Re at (0.0000, 0.0000, 0.1911).

***

Entry from Alexandria via LeMat-Bulk: crystalline Pa2Co3Re at its relaxed geometry (PBE).

The crystal system is monoclinic. For the formation energy from the elements, the calculation gives -0.26 eV per atom.

The structure belongs to space group C2/m (No. 12); the cell edges are 8.784, 5.074 and 5.120 Å and the angles 90.00°, 124.77° and 90.00°. The asymmetric unit holds Pa at (0.124, 0.000, 0.373), Co at (0.000, 0.500, 0.000), Co at (0.250, 0.250, 0.000) and Re at (0.000, 0.500, 0.500).

***

Entry from Alexandria via LeMat-Bulk: crystalline Pa2Co4ReSi3 at its relaxed geometry (PBE).

The crystal system is tetragonal. The formation energy from raw total energies comes out at -0.63 eV per atom.

The structure belongs to space group P-4m2 (No. 115); the cell edges are 3.973, 3.973 and 9.537 Å and the angles 90.00°, 90.00° and 90.00°. The asymmetric unit holds Pa at (0.000, 0.500, 0.235), Co at (0.000, 0.000, 0.000), Co at (0.000, 0.500, 0.632), Co at (0.500, 0.500, 0.000), Re at (0.000, 0.000, 0.500), Si at (0.000, 0.500, 0.875) and Si at (0.500, 0.500, 0.500).

***

| no. | uncorrected energy (eV/atom) | size of the total moment (μB/cell) |
| --- | --- | --- |
| 1 | -6.45 | 2.96 |
| 2 | -5.33 | 11.89 |
| 3 | -5.49 | 3.57 |
| 4 | -5.75 | 1.96 |
| 5 | -5.57 | 9.78 |
| 6 | -5.55 | 6.11 |
| 7 | -10.25 | 0.00 |
| 8 | -9.37 | 0.00 |
| 9 | -8.41 | 14.81 |
| 10 | -10.19 | 0.44 |
| 11 | -9.05 | 0.05 |
| 12 | -8.25 | 0.93 |